(1)
{"formula": "Ba3Zn2RhO6", "functional": "PBE", "state": "relaxed", "final_energy_ev_per_atom": -5.39, "space_group": "P-3m1, No. 164", "magnetic_moment_mub_per_fu": 0.65, "cell": [[-1.764, 1.810, -5.374], [5.376, -2.423, 0.701], [-2.657, -6.251, -1.234]], "species": ["O", "O", "O", "O", "O", "O", "Ba", "Ba", "Ba", "Zn", "Zn", "Rh"], "fractional_positions": [[0.837, 0.675, 0.682], [0.837, 0.163, 0.682], [0.163, 0.837, 0.318], [0.325, 0.163, 0.682], [0.675, 0.837, 0.318], [0.163, 0.325, 0.318], [0.333, 0.667, 0.641], [0.000, 0.000, 0.000], [0.667, 0.333, 0.359], [0.333, 0.667, 0.193], [0.667, 0.333, 0.807], [0.000, 0.000, 0.500]]}


(2)
{"formula": "Ba2Ru3O10", "functional": "PBE", "state": "relaxed", "final_energy_ev_per_atom": -6.88, "space_group": "C2/m, No. 12", "magnetic_moment_mub_per_fu": 0.65, "cell": [[-3.567, -1.933, 4.336], [-5.841, -0.938, -5.223], [7.019, -6.652, -1.258]], "species": ["O", "O", "O", "O", "O", "O", "O", "O", "O", "O", "O", "O", "O", "O", "O", "O", "O", "O", "O", "O", "Ba", "Ba", "Ba", "Ba", "Ru", "Ru", "Ru", "Ru", "Ru", "Ru"], "fractional_positions": [[0.125, 0.982, 0.783], [0.620, 0.537, 0.718], [0.520, 0.160, 0.040], [0.000, 0.000, 0.500], [0.027, 0.199, 0.055], [0.231, 0.268, 0.462], [0.207, 0.500, 0.000], [0.341, 0.018, 0.217], [0.480, 0.840, 0.960], [0.875, 0.018, 0.217], [0.500, 0.000, 0.500], [0.866, 0.258, 0.732], [0.659, 0.982, 0.783], [0.380, 0.463, 0.282], [0.134, 0.742, 0.268], [0.769, 0.732, 0.538], [0.973, 0.801, 0.945], [0.902, 0.463, 0.282], [0.098, 0.537, 0.718], [0.793, 0.500, 0.000], [0.713, 0.302, 0.425], [0.389, 0.275, 0.779], [0.287, 0.698, 0.575], [0.611, 0.725, 0.221], [0.819, 0.982, 0.638], [0.082, 0.478, 0.164], [0.238, 0.000, 0.000], [0.762, 0.000, 0.000], [0.918, 0.522, 0.836], [0.181, 0.018, 0.362]]}


(3)
{"formula": "Ba2RuO4", "functional": "PBE", "state": "relaxed", "final_energy_ev_per_atom": -6.70, "space_group": "I4/mmm, No. 139", "magnetic_moment_mub_per_fu": 1.74, "cell": [[-2.477, 2.437, -2.051], [-3.178, -1.717, 1.798], [-2.468, 4.943, 4.885]], "species": ["O", "O", "O", "O", "Ru", "Ba", "Ba"], "fractional_positions": [[0.000, 0.500, 0.000], [0.500, 0.000, 0.000], [0.846, 0.846, 0.308], [0.154, 0.154, 0.692], [0.000, 0.000, 0.000], [0.645, 0.645, 0.709], [0.355, 0.355, 0.291]]}